A geometry-optimized Sc2NiIr structure, computed with PBE.

Energy relative to the elements (eV per formula unit): -2.68
Energy relative to the lowest polymorph listed for this composition (kJ/mol of formula units): 50.9

a b c (Å): 4.316 3.279 9.794
angles (deg): 90.00 90.00 90.00
Space group Amm2 (No. 38)
Inequivalent atoms, fractional coordinates:
1 Sc 0.000 0.000 0.000 x2
2 Sc 0.500 0.000 0.284 x2
3 Ni 0.000 0.000 0.725 x2
4 Ir 0.500 0.000 0.560 x2

---

A geometry-optimized CsCu4Pb3I12 structure, computed with PBE.

Formation energy (no corrections) (eV per atom): -0.452

a b c (Å): 16.2567 16.2567 12.4160
angles (deg): 90.00 90.00 120.00
Space group R32 (No. 155, hexagonal axes)
Inequivalent atoms, fractional coordinates:
1 Cs 0.0000 0.0000 0.0000 x3
2 Cu 0.0000 0.0000 0.5000 x3
3 Cu 0.0000 0.4342 0.5000 x9
4 Pb 0.0000 0.5551 0.0000 x9
5 I 0.0000 0.5930 0.5000 x9
6 I 0.0000 0.8446 0.5000 x9
7 I 0.0344 0.2033 0.1967 x18

---

A geometry-optimized CeEr2Hf structure, computed with PBE.

Energy relative to the elements (eV per formula unit): 0.55
Energy relative to the lowest polymorph listed for this composition (kJ/mol of formula units): 3.0

a b c (Å): 4.750 4.750 4.892
angles (deg): 90.00 90.00 90.00
Space group P4/mmm (No. 123)
Inequivalent atoms, fractional coordinates:
1 Ce 0.000 0.000 0.000 x1
2 Er 0.000 0.500 0.500 x2
3 Hf 0.500 0.500 0.000 x1